This record from Alexandria describes a geometry-optimized Tb4Pm3In4 structure. The functional is PBE.

Summary:
magnetic moment: 0.0000 μB per atom
DFT formation energy: -0.278 eV per atom
symmetry: Immm, No. 71

a b c (Å): 5.3275 7.0255 9.9268
angles (deg): 110.72 105.57 90.00
Last column: nearest neighbours and their distance in Å.
Positions (direct):
Tb1 0.3210 0.0855 0.6420  4 In 3.14-3.20, 1 Tb 3.31
Tb2 0.6790 0.4436 0.3580  4 In 3.14-3.20, 1 Tb 3.31
Tb3 0.6790 0.9145 0.3580  4 In 3.14-3.20, 1 Tb 3.31
Tb4 0.3210 0.5564 0.6420  4 In 3.14-3.20, 1 Tb 3.31
Pm1 0.1018 0.1018 0.2037  4 Tb 3.53, 6 In 3.56-3.75, 1 Pm 3.62
Pm2 0.8982 0.8982 0.7963  4 Tb 3.53, 6 In 3.56-3.75, 1 Pm 3.62
Pm3 0.0000 0.5000 0.0000  6 In 3.13-3.33
In1 0.1758 0.6758 0.3515  1 Pm 3.13, 6 Tb 3.14-3.18
In2 0.8242 0.3242 0.6485  1 Pm 3.13, 6 Tb 3.14-3.18
In3 0.5000 0.7855 0.0000  1 In 3.01, 2 Tb 3.20, 2 Pm 3.33
In4 0.5000 0.2145 0.0000  1 In 3.01, 2 Tb 3.20, 2 Pm 3.33

***

This record from Alexandria describes a geometry-optimized TbPm7In4 structure. The functional is PBE.

Summary:
magnetic moment: 0.0000 μB per atom
DFT formation energy: -0.135 eV per atom
symmetry: C2/m, No. 12

a b c (Å): 5.7931 9.4816 7.9013
angles (deg): 75.40 68.49 72.21
Last column: nearest neighbours and their distance in Å.
Positions (direct):
Tb1 0.0000 0.0000 0.0000  2 Pm 2.90
Pm1 0.7939 0.8802 0.5321  4 Pm 3.37-3.77, 4 In 3.42-3.51
Pm2 0.2061 0.1198 0.4679  4 Pm 3.37-3.77, 4 In 3.42-3.51
Pm3 0.0628 0.6074 0.2670  5 In 3.25-3.61, 2 Pm 3.37-3.53
Pm4 0.9372 0.3926 0.7330  5 In 3.25-3.61, 2 Pm 3.37-3.53
Pm5 0.2800 0.6597 0.7804  4 In 3.06-3.22
Pm6 0.5000 0.0000 0.0000  2 Tb 2.90, 4 In 3.05-3.18
Pm7 0.7200 0.3403 0.2196  4 In 3.06-3.22
In1 0.5577 0.2460 0.6385  6 Pm 3.06-3.42, 1 In 3.09
In2 0.4423 0.7540 0.3615  6 Pm 3.06-3.42, 1 In 3.09
In3 0.6811 0.6668 0.9709  5 Pm 3.05-3.25, 1 In 3.09
In4 0.3189 0.3332 0.0291  5 Pm 3.05-3.25, 1 In 3.09

***

This record from Alexandria describes a geometry-optimized Tb12Pm3In structure. The functional is PBE.

Summary:
magnetic moment: 0.0001 μB per atom
DFT formation energy: -0.044 eV per atom
symmetry: P4/mmm, No. 123

a b c (Å): 4.9944 4.9944 20.2888
angles (deg): 90.00 90.00 90.00
Last column: nearest neighbours and their distance in Å.
Positions (direct):
Tb1 0.5000 0.5000 0.0000  8 Tb 3.48, 4 In 3.53
Tb2 0.5000 0.5000 0.2436  4 Pm 3.53, 8 Tb 3.54-3.63
Tb3 0.5000 0.5000 0.5000  4 Pm 3.53, 8 Tb 3.59
Tb4 0.5000 0.5000 0.7564  4 Pm 3.53, 8 Tb 3.54-3.63
Tb5 0.5000 0.0000 0.1197  8 Tb 3.48-3.54, 2 In 3.48, 2 Pm 3.61
Tb6 0.5000 0.0000 0.3731  8 Tb 3.53-3.63, 4 Pm 3.56-3.59
Tb7 0.5000 0.0000 0.6269  8 Tb 3.53-3.63, 4 Pm 3.56-3.59
Tb8 0.5000 0.0000 0.8803  8 Tb 3.48-3.54, 2 In 3.48, 2 Pm 3.61
Tb9 0.0000 0.5000 0.1197  8 Tb 3.48-3.54, 2 In 3.48, 2 Pm 3.61
Tb10 0.0000 0.5000 0.3731  8 Tb 3.53-3.63, 4 Pm 3.56-3.59
Tb11 0.0000 0.5000 0.6269  8 Tb 3.53-3.63, 4 Pm 3.56-3.59
Tb12 0.0000 0.5000 0.8803  8 Tb 3.48-3.54, 2 In 3.48, 2 Pm 3.61
Pm1 0.0000 0.0000 0.2480  12 Tb 3.53-3.61
Pm2 0.0000 0.0000 0.5000  12 Tb 3.53-3.59
Pm3 0.0000 0.0000 0.7520  12 Tb 3.53-3.61
In1 0.0000 0.0000 0.0000  12 Tb 3.48-3.53